1.
Compound: La4Pr5Y2
Source: Alexandria
Functional: PBE-GGA
Structure: relaxed Values from VASP.

Quantum ESPRESSO input file:
```
&SYSTEM
  ibrav = 0, nat = 11, ntyp = 3
/
ATOMIC_SPECIES
La 138.91 La.upf
Pr 140.91 Pr.upf
Y 88.91 Y.upf
CELL_PARAMETERS angstrom
9.091 -1.815 0.000
9.091 1.815 0.000
-0.884 0.000 11.963
ATOMIC_POSITIONS angstrom
La 0.496 0.000 3.150
La 6.343 0.000 2.440
La 10.955 0.000 9.522
La 16.802 0.000 8.813
Pr 1.264 0.000 6.452
Pr 3.189 0.000 0.891
Pr 9.091 0.000 0.000
Pr 14.109 0.000 11.072
Pr 16.034 0.000 5.510
Y 4.586 0.000 7.623
Y 12.712 0.000 4.340
```

Results
- symmetry = C2/m

=====

2.
Compound: La2SiGe3Rh4
Source: Alexandria
Functional: PBE-GGA
Structure: relaxed Values from VASP.

Quantum ESPRESSO input file:
```
&SYSTEM
  ibrav = 0, nat = 10, ntyp = 4
/
ATOMIC_SPECIES
La 138.91 La.upf
Si 28.09 Si.upf
Ge 72.64 Ge.upf
Rh 102.91 Rh.upf
CELL_PARAMETERS angstrom
4.292 0.000 0.000
0.000 4.292 0.000
0.000 0.000 10.122
ATOMIC_POSITIONS angstrom
La 0.000 2.146 2.449
La 2.146 0.000 7.672
Si 2.146 2.146 0.000
Ge 0.000 0.000 0.000
Ge 0.000 2.146 6.374
Ge 2.146 0.000 3.747
Rh 0.000 0.000 5.061
Rh 0.000 2.146 8.887
Rh 2.146 0.000 1.234
Rh 2.146 2.146 5.061
```

Results
- symmetry = P-4m2
- formation energy (no corrections) (eV per formula unit) = -9.3

=====

Number 1: calculated total energy -5.072 eV/atom, DOS at the Fermi energy 1.696 states/eV per atom. Number 2: calculated total energy -6.784 eV/atom, DOS at the Fermi energy 0.635 states/eV per atom.